DFT (PBE) results for a relaxed structure of Nb3GaCo.

Geometry as extended XYZ:
```
5
Lattice="4.693 0.000 0.000 0.000 4.693 0.000 0.000 0.000 4.693" Properties=species:S:1:pos:R:3 pbc="T T T"
Nb 0.000 0.000 2.346
Nb 0.000 2.346 0.000
Nb 2.346 0.000 0.000
Ga 0.000 0.000 0.000
Co 2.346 2.346 2.346
```

The density of states at the Fermi level comes out at 1.724 states/eV per atom.

=====

DFT (PBE) results for a relaxed structure of NbGa2Co.

Geometry as extended XYZ:
```
4
Lattice="3.892 0.000 0.000 0.000 3.892 0.000 0.000 0.000 3.877" Properties=species:S:1:pos:R:3 pbc="T T T"
Nb 0.000 0.000 0.000
Ga 0.000 1.946 1.938
Ga 1.946 0.000 1.938
Co 1.946 1.946 0.000
```

The density of states at the Fermi level comes out at 0.843 states/eV per atom.

=====

DFT (PBE) results for a relaxed structure of NbGaCo2.

Geometry as extended XYZ:
```
4
Lattice="4.099 0.000 0.000 0.000 4.099 0.000 0.000 0.000 3.181" Properties=species:S:1:pos:R:3 pbc="T T T"
Nb 0.000 0.000 0.000
Ga 2.049 2.049 0.000
Co 0.000 2.049 1.591
Co 2.049 0.000 1.591
```

The density of states at the Fermi level comes out at 0.718 states/eV per atom.

=====

Number 1: V 103 Å³ per cell, E_form 1.451 eV/atom. Number 2: V 59 Å³ per cell, E_form -0.216 eV/atom. Number 3: V 53 Å³ per cell, E_form -0.177 eV/atom.